Record 1
A plane-wave DFT calculation with GGA-PBE was carried out for a relaxed structure of TlSnPCl2.

Calculated values
Energy relative to the lowest polymorph listed for this composition ... 0 meV/atom
Space group ... No. 123

a = 5.4300 Å, b = 5.4300 Å, c = 5.1681 Å
α = 90.00°, β = 90.00°, γ = 90.00°
With the nearest neighbours (Å) after each atom.
Atoms (fractional coordinates):
Cl1 0.0000 0.5000 0.0000  2 Sn 2.72
Tl1 0.5000 0.5000 0.5000  8 Cl 3.75, 4 P 3.84
Cl2 0.5000 0.0000 0.0000  2 Sn 2.72
P1 0.0000 0.0000 0.5000  2 Sn 2.58
Sn1 0.0000 0.0000 0.0000  2 P 2.58, 4 Cl 2.72


Record 2
A plane-wave DFT calculation with GGA-PBE was carried out for a relaxed structure of PaTiCuS4.

Calculated values
Space group ... No. 74

a = 7.1705 Å, b = 7.3941 Å, c = 7.3941 Å
α = 63.77°, β = 61.00°, γ = 61.00°
With the nearest neighbours (Å) after each atom.
Atoms (fractional coordinates):
S1 0.7371 0.7567 0.2567  1 Cu 2.33, 1 Ti 2.51
Pa1 0.0000 0.0000 0.0000  6 S 2.66-2.68
S2 0.2580 0.7625 0.7216  1 Cu 2.35, 2 Ti 2.54
Ti1 0.0000 0.0000 0.5000  6 S 2.51-2.54
Cu1 0.6424 0.6076 0.1076  4 S 2.33-2.35
S3 0.7420 0.2375 0.2784  1 Cu 2.35, 2 Ti 2.54
S4 0.7505 0.2433 0.7433  1 Cu 2.33, 1 Ti 2.51
Pa2 0.0000 0.5000 0.5000  6 S 2.66-2.68
Cu2 0.3576 0.3924 0.8924  4 S 2.33-2.35
S5 0.2495 0.7567 0.2567  1 Cu 2.33, 1 Ti 2.51
S6 0.7420 0.7784 0.7375  1 Cu 2.35, 2 Ti 2.54
S7 0.2629 0.2433 0.7433  1 Cu 2.33, 1 Ti 2.51
S8 0.2580 0.2216 0.2625  1 Cu 2.35, 2 Ti 2.54
Ti2 0.5000 0.0000 0.5000  6 S 2.51-2.54


no.,density of states at the Fermi level (states/eV per cell),formation energy from raw total energies (meV/atom),total moment (μB/f.u.)
1,3.10,-255.0,1.0
2,9.85,-1223.1,1.6